Density functional theory data (PBE) for a geometry-optimized Na4Ac3SmSe8 structure.

a = 8.9033 Å, b = 8.9033 Å, c = 21.0304 Å
α = 90.00°, β = 90.00°, γ = 120.00°
Space group R-3m (No. 166, hexagonal axes)
Unique sites:
1 Na 0.0000 0.0000 0.0000 (multiplicity 3)
2 Na 0.0000 0.5000 0.0000 (multiplicity 9)
3 Ac 0.0000 0.5000 0.5000 (multiplicity 9)
4 Sm 0.0000 0.0000 0.5000 (multiplicity 3)
5 Se 0.0000 0.0000 0.2489 (multiplicity 6)
6 Se 0.0126 0.5063 0.2465 (multiplicity 18)

Summary:
Formation energy without anion corrections   -1.711 eV/atom
Crystal system   trigonal
Total magnetic moment   0.00 μB/atom
Mass density   5.4 Mg/m³


Density functional theory data (PBE) for a geometry-optimized NaAcSm2Se4 structure.

a = 7.3301 Å, b = 4.2431 Å, c = 7.5352 Å
α = 90.00°, β = 108.86°, γ = 90.00°
Space group P2/m (No. 10)
Unique sites:
1 Na 0.0000 0.0000 0.0000 (multiplicity 1)
2 Ac 0.5000 0.5000 0.0000 (multiplicity 1)
3 Sm 0.0000 0.5000 0.5000 (multiplicity 1)
4 Sm 0.5000 0.0000 0.5000 (multiplicity 1)
5 Se 0.2385 0.0000 0.7368 (multiplicity 2)
6 Se 0.2505 0.5000 0.2623 (multiplicity 2)

Summary:
Formation energy without anion corrections   -1.771 eV/atom
Crystal system   monoclinic
Total magnetic moment   0.00 μB/atom
Mass density   6.5 Mg/m³